# MgNiPtO4, relaxed, DFT PBE with a Hubbard U
# E_tot, eV per atom: -5.612
# V, Å³/atom: 11.43
data_MgNiPtO4
_chemical_formula_sum 'Mg4 Ni4 Pt4 O16'
_cell_length_a 5.945
_cell_length_b 6.183
_cell_length_c 8.705
_cell_angle_alpha 90.00
_cell_angle_beta 90.00
_cell_angle_gamma 90.00
_space_group_name_H-M_alt 'I m m a'
_space_group_IT_number 74
_space_group_name_Hall '-I 2b 2'
loop_
_atom_site_label
_atom_site_type_symbol
_atom_site_fract_x
_atom_site_fract_y
_atom_site_fract_z
Mg1 Mg 0.000 0.250 0.143
Ni1 Ni 0.250 0.250 0.750
Pt1 Pt 0.000 0.000 0.500
O1 O 0.000 0.019 0.735
O2 O 0.228 0.250 0.504